Material: Sn2BC
Method: DFT, GGA-PBEsol
State: optimized geometry

```
Sn2BC
1.0
5.185 0.000 0.000
0.000 5.185 0.000
-2.592 -2.592 5.081
C B Sn
2 2 4
Cartesian
0.000 2.592 2.540 C
0.000 0.000 0.000 C
2.592 0.000 2.540 B
2.592 2.592 0.000 B
1.247 3.889 1.270 Sn
3.938 1.296 1.270 Sn
-1.296 -1.346 3.811 Sn
1.296 1.346 3.811 Sn
```

Crystal system: tetragonal
Calculated volume (A^3/atom): 17.07
Total magnetization (μB/f.u.): 0.001
SG: I-42d
Formation enthalpy at 0 K (meV per atom): 791.1